LiAc2PPd6: relaxed, PBE-GGA.

Spin magnetization: 0.00 μB per cell
Final energy: -5.367 eV per atom
Crystal system: monoclinic

Unit cell a=11.5774 b=5.7370 c=8.0310 alpha=90.00 beta=129.10 gamma=90.00
Space group C2/m (No. 12)
Symmetry-distinct sites (fractional):
Li1 0.0000 0.0000 0.0000 x2
Ac1 0.2353 0.5000 0.2062 x4
P1 0.0000 0.5000 0.5000 x2
Pd1 0.0083 0.2422 0.2804 x8
Pd2 0.2471 0.0000 0.3693 x4